VASP calculation (PBE) on a geometry-optimized CdIr2I structure.

abc: 4.703 4.703 4.703
angles: 60.00 60.00 60.00
Positions (direct):
I: 0.500 0.500 0.500
Cd: 0.000 0.000 0.000
Ir: 0.750 0.750 0.750
Ir: 0.250 0.250 0.250

Output
Uncorrected formation energy: 0.9282 eV per atom
Symmetry: Fm-3m, No. 225
E: -4.1186 eV per atom
Size of the total moment: 0.000 μB/cell
DOS(E_F): 5.96 states/eV per cell
E above lowest polymorph: 0.060 eV per atom

---

VASP calculation (PBE) on a geometry-optimized Mg2CdIrI structure.

abc: 5.241 5.491 5.241
angles: 90.00 90.00 90.00
Positions (direct):
Mg: 0.000 0.000 0.500
Mg: 0.500 0.000 0.000
Cd: 0.000 0.500 0.000
Ir: 0.500 0.500 0.500
I: 0.000 0.000 0.000

Output
Uncorrected formation energy: 1.3900 eV per atom
Symmetry: P4/mmm, No. 123
E: -1.5131 eV per atom
Size of the total moment: 0.000 μB/cell
DOS(E_F): 3.98 states/eV per cell

---

VASP calculation (PBE) on a geometry-optimized CdIrIN2 structure.

abc: 3.885 3.885 7.861
angles: 90.00 90.00 90.00
Positions (direct):
I: 0.000 0.000 0.500
N: 0.500 0.000 0.000
N: 0.000 0.500 0.000
Ir: 0.000 0.000 0.000
Cd: 0.500 0.500 0.500

Output
Uncorrected formation energy: 0.8549 eV per atom
Symmetry: P4/mmm, No. 123
E: -4.7405 eV per atom
Size of the total moment: 0.462 μB/cell
DOS(E_F): 2.04 states/eV per cell
E above lowest polymorph: 0.000 eV per atom

---

VASP calculation (PBE) on a geometry-optimized CdIrIN2 structure.

abc: 4.123 4.123 6.700
angles: 90.00 90.00 90.00
Positions (direct):
Cd: 0.000 0.000 0.000
N: 0.500 0.000 0.000
N: 0.000 0.500 0.000
I: 0.000 0.000 0.500
Ir: 0.500 0.500 0.500

Output
Uncorrected formation energy: 2.2580 eV per atom
Symmetry: P4/mmm, No. 123
E: -3.3374 eV per atom
Size of the total moment: 4.881 μB/cell
DOS(E_F): 3.88 states/eV per cell
E above lowest polymorph: 1.403 eV per atom

---

VASP calculation (PBE) on a geometry-optimized NaCd2IrI structure.

abc: 5.773 5.556 5.773
angles: 90.00 90.00 90.00
Positions (direct):
I: 0.000 0.500 0.000
Cd: 0.000 0.000 0.500
Cd: 0.500 0.000 0.000
Ir: 0.500 0.500 0.500
Na: 0.000 0.000 0.000

Output
Uncorrected formation energy: 1.1873 eV per atom
Symmetry: P4/mmm, No. 123
E: -1.5248 eV per atom
Size of the total moment: 2.995 μB/cell
DOS(E_F): 3.60 states/eV per cell

---

VASP calculation (PBE) on a geometry-optimized NbCdIrI2 structure.

abc: 5.577 4.917 5.577
angles: 90.00 90.00 90.00
Positions (direct):
Nb: 0.000 0.000 0.000
I: 0.500 0.000 0.000
I: 0.000 0.000 0.500
Cd: 0.500 0.500 0.500
Ir: 0.000 0.500 0.000

Output
Uncorrected formation energy: 0.6908 eV per atom
Symmetry: P4/mmm, No. 123
E: -3.8984 eV per atom
Size of the total moment: 0.000 μB/cell
DOS(E_F): 4.40 states/eV per cell

---

VASP calculation (PBE) on a geometry-optimized CdIrIO2 structure.

abc: 3.898 3.898 7.817
angles: 90.00 90.00 90.00
Positions (direct):
Cd: 0.500 0.500 0.500
O: 0.000 0.500 0.000
O: 0.500 0.000 0.000
I: 0.000 0.000 0.500
Ir: 0.000 0.000 0.000

Output
Uncorrected formation energy: -0.1380 eV per atom
Symmetry: P4/mmm, No. 123
E: -4.3865 eV per atom
Size of the total moment: 0.394 μB/cell
DOS(E_F): 3.06 states/eV per cell
E above lowest polymorph: 0.000 eV per atom

---

VASP calculation (PBE) on a geometry-optimized CdIrI2O structure.

abc: 5.837 5.837 3.971
angles: 90.00 90.00 90.00
Positions (direct):
I: 0.000 0.500 0.000
I: 0.500 0.000 0.000
O: 0.000 0.000 0.500
Ir: 0.500 0.500 0.500
Cd: 0.000 0.000 0.000

Output
Uncorrected formation energy: 0.9573 eV per atom
Symmetry: P4/mmm, No. 123
E: -2.6096 eV per atom
Size of the total moment: 2.894 μB/cell
DOS(E_F): 8.64 states/eV per cell
E above lowest polymorph: 1.039 eV per atom

---

VASP calculation (PBE) on a geometry-optimized CdIrI2O structure.

abc: 5.712 5.712 3.772
angles: 90.00 90.00 90.00
Positions (direct):
I: 0.000 0.500 0.000
I: 0.500 0.000 0.000
Cd: 0.500 0.500 0.500
O: 0.000 0.000 0.500
Ir: 0.000 0.000 0.000

Output
Uncorrected formation energy: -0.0813 eV per atom
Symmetry: P4/mmm, No. 123
E: -3.6482 eV per atom
Size of the total moment: 0.000 μB/cell
DOS(E_F): 3.17 states/eV per cell
E above lowest polymorph: 0.000 eV per atom

---

VASP calculation (PBE) on a geometry-optimized CdIrIO2 structure.

abc: 4.044 4.044 6.806
angles: 90.00 90.00 90.00
Positions (direct):
Cd: 0.000 0.000 0.000
O: 0.000 0.500 0.000
O: 0.500 0.000 0.000
I: 0.000 0.000 0.500
Ir: 0.500 0.500 0.500

Output
Uncorrected formation energy: 0.8192 eV per atom
Symmetry: P4/mmm, No. 123
E: -3.4293 eV per atom
Size of the total moment: 2.885 μB/cell
DOS(E_F): 2.75 states/eV per cell
E above lowest polymorph: 0.957 eV per atom

---

VASP calculation (PBE) on a geometry-optimized CdIrOs2I structure.

abc: 4.801 5.221 4.801
angles: 90.00 90.00 90.00
Positions (direct):
Ir: 0.000 0.000 0.000
I: 0.500 0.500 0.500
Cd: 0.000 0.500 0.000
Os: 0.000 0.000 0.500
Os: 0.500 0.000 0.000

Output
Uncorrected formation energy: 1.6855 eV per atom
Symmetry: P4/mmm, No. 123
E: -5.0716 eV per atom
Size of the total moment: 1.853 μB/cell
DOS(E_F): 5.64 states/eV per cell

---

VASP calculation (PBE) on a geometry-optimized CdIrPb2I structure.

abc: 5.310 5.310 5.393
angles: 90.00 90.00 90.00
Positions (direct):
Cd: 0.000 0.000 0.500
Pb: 0.500 0.000 0.000
Pb: 0.000 0.500 0.000
I: 0.500 0.500 0.500
Ir: 0.000 0.000 0.000

Output
Uncorrected formation energy: -0.0618 eV per atom
Symmetry: P4/mmm, No. 123
E: -3.8104 eV per atom
Size of the total moment: 0.000 μB/cell
DOS(E_F): 1.61 states/eV per cell

---

VASP calculation (PBE) on a geometry-optimized CdSbIrI2 structure.

abc: 5.694 5.694 4.993
angles: 90.00 90.00 90.00
Positions (direct):
I: 0.000 0.500 0.000
I: 0.500 0.000 0.000
Cd: 0.500 0.500 0.500
Ir: 0.000 0.000 0.000
Sb: 0.000 0.000 0.500

Output
Uncorrected formation energy: 0.3383 eV per atom
Symmetry: P4/mmm, No. 123
E: -3.0615 eV per atom
Size of the total moment: 0.000 μB/cell
DOS(E_F): 2.99 states/eV per cell
E above lowest polymorph: 0.000 eV per atom

---

VASP calculation (PBE) on a geometry-optimized CdSb2IrI structure.

abc: 5.160 5.160 5.793
angles: 90.00 90.00 90.00
Positions (direct):
Sb: 0.000 0.500 0.000
Sb: 0.500 0.000 0.000
Cd: 0.500 0.500 0.500
Ir: 0.000 0.000 0.000
I: 0.000 0.000 0.500

Output
Uncorrected formation energy: 0.4172 eV per atom
Symmetry: P4/mmm, No. 123
E: -3.4970 eV per atom
Size of the total moment: 0.000 μB/cell
DOS(E_F): 6.24 states/eV per cell
E above lowest polymorph: 0.000 eV per atom

---

VASP calculation (PBE) on a geometry-optimized CdTeIr2I structure.

abc: 4.841 6.253 4.841
angles: 90.00 90.00 90.00
Positions (direct):
Ir: 0.500 0.000 0.000
Ir: 0.000 0.000 0.500
Te: 0.000 0.500 0.000
I: 0.000 0.000 0.000
Cd: 0.500 0.500 0.500

Output
Uncorrected formation energy: 1.6073 eV per atom
Symmetry: P4/mmm, No. 123
E: -3.0585 eV per atom
Size of the total moment: 0.000 μB/cell
DOS(E_F): 6.64 states/eV per cell

---

VASP calculation (PBE) on a geometry-optimized CdTeIrI2 structure.

abc: 5.628 5.628 5.103
angles: 90.00 90.00 90.00
Positions (direct):
I: 0.500 0.000 0.000
I: 0.000 0.500 0.000
Te: 0.000 0.000 0.500
Ir: 0.000 0.000 0.000
Cd: 0.500 0.500 0.500

Output
Uncorrected formation energy: 0.3253 eV per atom
Symmetry: P4/mmm, No. 123
E: -2.8784 eV per atom
Size of the total moment: 0.000 μB/cell
DOS(E_F): 3.44 states/eV per cell
E above lowest polymorph: 0.000 eV per atom

---

VASP calculation (PBE) on a geometry-optimized Tl2CdIrI structure.

abc: 5.364 5.364 5.344
angles: 90.00 90.00 90.00
Positions (direct):
Tl: 0.000 0.500 0.000
Tl: 0.500 0.000 0.000
Cd: 0.000 0.000 0.500
I: 0.500 0.500 0.500
Ir: 0.000 0.000 0.000

Output
Uncorrected formation energy: -0.0483 eV per atom
Symmetry: P4/mmm, No. 123
E: -3.2601 eV per atom
Size of the total moment: 0.000 μB/cell
DOS(E_F): 2.48 states/eV per cell

---

VASP calculation (PBE) on a geometry-optimized KCd2I2 structure.

abc: 4.263 4.263 10.416
angles: 78.19 78.19 90.00
Positions (direct):
K: 0.000 0.000 0.000
I: 0.605 0.605 0.790
I: 0.395 0.395 0.210
Cd: 0.750 0.250 0.500
Cd: 0.250 0.750 0.500

Output
Uncorrected formation energy: -0.5641 eV per atom
Symmetry: I4/mmm, No. 139
E: -1.7697 eV per atom
Size of the total moment: 0.000 μB/cell
DOS(E_F): 2.14 states/eV per cell
E above lowest polymorph: 0.000 eV per atom

---

VASP calculation (PBE) on a geometry-optimized KCd4I8 structure.

abc: 9.317 9.317 9.317
angles: 60.00 60.00 60.00
Positions (direct):
I: 0.182 0.606 0.606
I: 0.135 0.135 0.595
I: 0.135 0.595 0.135
I: 0.595 0.135 0.135
I: 0.606 0.606 0.606
I: 0.606 0.606 0.182
I: 0.606 0.182 0.606
I: 0.135 0.135 0.135
K: 0.750 0.750 0.750
Cd: 0.369 0.369 0.893
Cd: 0.369 0.893 0.369
Cd: 0.369 0.369 0.369
Cd: 0.893 0.369 0.369

Output
Uncorrected formation energy: -0.5677 eV per atom
Symmetry: F-43m, No. 216
E: -1.8876 eV per atom
Size of the total moment: 0.000 μB/cell
DOS(E_F): 5.24 states/eV per cell

---

VASP calculation (PBE) on a geometry-optimized KCd3I structure.

abc: 6.574 6.574 6.574
angles: 90.00 90.00 90.00
Positions (direct):
Cd: 0.500 0.000 0.000
Cd: 0.000 0.500 0.000
Cd: 0.000 0.000 0.500
K: 0.000 0.000 0.000
I: 0.500 0.500 0.500

Output
Uncorrected formation energy: 0.1792 eV per atom
Symmetry: Pm-3m, No. 221
E: -0.8994 eV per atom
Size of the total moment: 0.000 μB/cell
DOS(E_F): 0.00 states/eV per cell